Record 1
Crystalline SnH22C6N2Cl4 at its relaxed geometry. Source: Alexandria, functional GGA-PBEsol.

Values from the calculation:
- DOS at the Fermi energy (states/eV/cell) = 0.00
- raw total energy (eV per cell) = -172.06
- M_tot (μB per formula unit) = 0.0
- mass density (g cm⁻³) = 1.73
- symmetry = No. 2

a = 6.6090 Å, b = 7.1544 Å, c = 8.4239 Å
α = 109.60°, β = 98.89°, γ = 94.03°
With the nearest neighbours (Å) after each atom.
Fractional coordinates of all 35 atoms:
Sn 0.5000 0.5000 0.5000  2 C 2.12
H 0.2706 0.6999 0.2041  1 N 1.06
H 0.7294 0.3001 0.7959  1 N 1.06
H 0.9390 0.8135 0.1395  1 C 1.10
H 0.0610 0.1865 0.8605  1 C 1.10
H 0.0686 0.0667 0.2319  1 C 1.10
H 0.9314 0.9333 0.7681  1 C 1.10
H 0.1138 0.3615 0.5060  1 C 1.10
H 0.8862 0.6385 0.4940  1 C 1.10
H 0.2658 0.4659 0.7209  1 C 1.10
H 0.7342 0.5341 0.2791  1 C 1.10
H 0.2972 0.2185 0.5819  1 C 1.10
H 0.7028 0.7815 0.4181  1 C 1.10
H 0.1514 0.7308 0.9245  1 C 1.10
H 0.8486 0.2692 0.0755  1 C 1.10
H 0.0586 0.9140 0.3638  1 C 1.10
H 0.9414 0.0860 0.6362  1 C 1.10
H 0.4292 0.7611 0.9867  1 C 1.10
H 0.5708 0.2389 0.0133  1 C 1.10
H 0.2959 0.9770 0.0088  1 C 1.10
H 0.7041 0.0230 0.9912  1 C 1.10
H 0.3902 0.9401 0.2790  1 N 1.06
H 0.6098 0.0599 0.7210  1 N 1.06
C 0.0688 0.9141 0.2349  3 H 1.10
C 0.9312 0.0859 0.7651  3 H 1.10
C 0.2872 0.8260 0.0160  3 H 1.10
C 0.7128 0.1740 0.9840  3 H 1.10
C 0.2629 0.3689 0.5881  3 H 1.10
C 0.7371 0.6311 0.4119  3 H 1.10
N 0.2641 0.8415 0.1915  2 H 1.06
N 0.7359 0.1585 0.8085  2 H 1.06
Cl 0.2646 0.4050 0.1926  1 H 2.08
Cl 0.7354 0.5950 0.8074  1 H 2.08
Cl 0.6516 0.1584 0.3956  1 H 2.11
Cl 0.3484 0.8416 0.6044  1 H 2.11

Record 2
Crystalline YHf2AlTl at its relaxed geometry. Source: Alexandria, functional GGA-PBEsol.

Values from the calculation:
- DOS at the Fermi energy (states/eV/cell) = 7.08
- raw total energy (eV per cell) = -31.24
- M_tot (μB per formula unit) = 1.5
- mass density (g cm⁻³) = 8.83
- symmetry = No. 123
- energy of formation from the pure elements (eV/atom) = 0.662

a = 5.0360 Å, b = 5.0360 Å, c = 5.0241 Å
α = 90.00°, β = 90.00°, γ = 90.00°
With the nearest neighbours (Å) after each atom.
Fractional coordinates of all 5 atoms:
Y 0.5000 0.5000 0.5000  8 Hf 3.56, 4 Tl 3.56
Tl 0.0000 0.0000 0.5000  2 Al 2.51
Hf 0.0000 0.5000 0.0000  2 Al 2.52
Hf 0.5000 0.0000 0.0000  2 Al 2.52
Al 0.0000 0.0000 0.0000  2 Tl 2.51, 4 Hf 2.52

Record 3
Crystalline CaCoP2 at its relaxed geometry. Source: Alexandria, functional GGA-PBEsol.

Values from the calculation:
- DOS at the Fermi energy (states/eV/cell) = 2.95
- raw total energy (eV per cell) = -21.51
- M_tot (μB per formula unit) = 0.4
- mass density (g cm⁻³) = 4.45
- symmetry = No. 119
- energy of formation from the pure elements (eV/atom) = -0.014

a = 3.7465 Å, b = 3.7465 Å, c = 5.0339 Å
α = 111.85°, β = 111.85°, γ = 90.00°
With the nearest neighbours (Å) after each atom.
Fractional coordinates of all 4 atoms:
Ca 0.5000 0.5000 0.0000  8 P 2.65-2.84, 4 Co 2.84
Co 0.2500 0.7500 0.5000  8 P 2.65-2.84, 4 Ca 2.84
P 0.0000 0.0000 0.0000  4 Ca 2.65, 4 Co 2.84, 4 P 2.84
P 0.7500 0.2500 0.5000  4 Co 2.65, 4 Ca 2.84, 4 P 2.84

Record 4
Crystalline KAgSnSe3 at its relaxed geometry. Source: Alexandria, functional GGA-PBEsol.

Values from the calculation:
- raw total energy (eV per cell) = -188.49
- M_tot (μB per formula unit) = 0.0
- mass density (g cm⁻³) = 5.07
- symmetry = No. 103

a = 8.0830 Å, b = 8.0830 Å, c = 20.1388 Å
α = 90.00°, β = 90.00°, γ = 90.00°
With the nearest neighbours (Å) after each atom.
Fractional coordinates of all 48 atoms:
K 0.0000 0.0000 0.4048  8 Se 3.30-3.51
K 0.0000 0.0000 0.9048  8 Se 3.30-3.51
K 0.0000 0.0000 0.5938  8 Se 3.26-3.47
K 0.0000 0.0000 0.0938  8 Se 3.26-3.47
K 0.5000 0.5000 0.2414  8 Se 3.35-3.51
K 0.5000 0.5000 0.7414  8 Se 3.35-3.51
K 0.5000 0.5000 0.4450  8 Se 3.30-3.46
K 0.5000 0.5000 0.9450  8 Se 3.30-3.46
Ag 0.3118 0.0083 0.2492  2 Se 2.47-2.48
Ag 0.6882 0.9917 0.2492  2 Se 2.47-2.48
Ag 0.9917 0.3118 0.2492  2 Se 2.47-2.48
Ag 0.0083 0.6882 0.2492  2 Se 2.47-2.48
Ag 0.6882 0.0083 0.7492  2 Se 2.47-2.48
Ag 0.3118 0.9917 0.7492  2 Se 2.47-2.48
Ag 0.0083 0.3118 0.7492  2 Se 2.47-2.48
Ag 0.9917 0.6882 0.7492  2 Se 2.47-2.48
Sn 0.5000 0.0000 0.4125  4 Se 2.55-2.61
Sn 0.0000 0.5000 0.4125  4 Se 2.55-2.61
Sn 0.5000 0.0000 0.9125  4 Se 2.55-2.61
Sn 0.0000 0.5000 0.9125  4 Se 2.55-2.61
Sn 0.5000 0.0000 0.5894  4 Se 2.54-2.61
Sn 0.0000 0.5000 0.5894  4 Se 2.54-2.61
Sn 0.5000 0.0000 0.0894  4 Se 2.54-2.61
Sn 0.0000 0.5000 0.0894  4 Se 2.54-2.61
Se 0.3255 0.8418 0.5008  2 Sn 2.61
Se 0.6745 0.1582 0.5008  2 Sn 2.61
Se 0.1582 0.3255 0.5008  2 Sn 2.61
Se 0.8418 0.6745 0.5008  2 Sn 2.61
Se 0.6745 0.8418 0.0008  2 Sn 2.61
Se 0.3255 0.1582 0.0008  2 Sn 2.61
Se 0.8418 0.3255 0.0008  2 Sn 2.61
Se 0.1582 0.6745 0.0008  2 Sn 2.61
Se 0.3233 0.1997 0.3451  1 Ag 2.48, 1 Sn 2.55
Se 0.6767 0.8003 0.3451  1 Ag 2.48, 1 Sn 2.55
Se 0.8003 0.3233 0.3451  1 Ag 2.48, 1 Sn 2.55
Se 0.1997 0.6767 0.3451  1 Ag 2.48, 1 Sn 2.55
Se 0.6767 0.1997 0.8451  1 Ag 2.48, 1 Sn 2.55
Se 0.3233 0.8003 0.8451  1 Ag 2.48, 1 Sn 2.55
Se 0.1997 0.3233 0.8451  1 Ag 2.48, 1 Sn 2.55
Se 0.8003 0.6767 0.8451  1 Ag 2.48, 1 Sn 2.55
Se 0.6822 0.8065 0.6569  1 Ag 2.47, 1 Sn 2.54
Se 0.3178 0.1935 0.6569  1 Ag 2.47, 1 Sn 2.54
Se 0.1935 0.6822 0.6569  1 Ag 2.47, 1 Sn 2.54
Se 0.8065 0.3178 0.6569  1 Ag 2.47, 1 Sn 2.54
Se 0.3178 0.8065 0.1569  1 Ag 2.47, 1 Sn 2.54
Se 0.6822 0.1935 0.1569  1 Ag 2.47, 1 Sn 2.54
Se 0.8065 0.6822 0.1569  1 Ag 2.47, 1 Sn 2.54
Se 0.1935 0.3178 0.1569  1 Ag 2.47, 1 Sn 2.54

Record 5
Crystalline MnCo3 at its relaxed geometry. Source: Alexandria, functional GGA-PBEsol.

Values from the calculation:
- DOS at the Fermi energy (states/eV/cell) = 5.24
- raw total energy (eV per cell) = -32.49
- M_tot (μB per formula unit) = 8.2
- mass density (g cm⁻³) = 8.78
- symmetry = No. 123
- energy of formation from the pure elements (eV/atom) = 0.120

a = 2.7737 Å, b = 2.7737 Å, c = 5.6985 Å
α = 90.00°, β = 90.00°, γ = 90.00°
With the nearest neighbours (Å) after each atom.
Fractional coordinates of all 4 atoms:
Mn 0.5000 0.5000 0.5000  8 Co 2.44
Co 0.0000 0.0000 0.7541  4 Co 2.41, 4 Mn 2.44
Co 0.0000 0.0000 0.2459  4 Co 2.41, 4 Mn 2.44
Co 0.5000 0.5000 0.0000  8 Co 2.41

Record 6
Crystalline Nb3Al at its relaxed geometry. Source: Alexandria, functional GGA-PBEsol.

Values from the calculation:
- DOS at the Fermi energy (states/eV/cell) = 11.82
- raw total energy (eV per cell) = -74.53
- M_tot (μB per formula unit) = 0.0
- mass density (g cm⁻³) = 7.40
- symmetry = No. 223
- energy of formation from the pure elements (eV/atom) = -0.177

a = 5.1570 Å, b = 5.1570 Å, c = 5.1570 Å
α = 90.00°, β = 90.00°, γ = 90.00°
With the nearest neighbours (Å) after each atom.
Fractional coordinates of all 8 atoms:
Nb 0.2500 0.0000 0.5000  2 Nb 2.58, 4 Al 2.88
Nb 0.7500 0.0000 0.5000  2 Nb 2.58, 4 Al 2.88
Nb 0.0000 0.5000 0.2500  2 Nb 2.58, 4 Al 2.88
Nb 0.0000 0.5000 0.7500  2 Nb 2.58, 4 Al 2.88
Nb 0.5000 0.7500 0.0000  2 Nb 2.58, 4 Al 2.88
Nb 0.5000 0.2500 0.0000  2 Nb 2.58, 4 Al 2.88
Al 0.0000 0.0000 0.0000  12 Nb 2.88
Al 0.5000 0.5000 0.5000  12 Nb 2.88

Record 7
Crystalline Li3SbAs at its relaxed geometry. Source: Alexandria, functional GGA-PBEsol.

Values from the calculation:
- DOS at the Fermi energy (states/eV/cell) = 3.47
- raw total energy (eV per cell) = -16.40
- M_tot (μB per formula unit) = 0.0
- mass density (g cm⁻³) = 3.50
- symmetry = No. 221

a = 4.6927 Å, b = 4.6927 Å, c = 4.6927 Å
α = 90.00°, β = 90.00°, γ = 90.00°
With the nearest neighbours (Å) after each atom.
Fractional coordinates of all 5 atoms:
Sb 0.5000 0.5000 0.5000  12 Li 3.32
As 0.0000 0.0000 0.0000  6 Li 2.35
Li 0.0000 0.5000 0.0000  2 As 2.35
Li 0.0000 0.0000 0.5000  2 As 2.35
Li 0.5000 0.0000 0.0000  2 As 2.35

Record 8
Crystalline In2FeSi at its relaxed geometry. Source: Alexandria, functional GGA-PBEsol.

Values from the calculation:
- DOS at the Fermi energy (states/eV/cell) = 3.27
- raw total energy (eV per cell) = -20.00
- M_tot (μB per formula unit) = 0.7
- mass density (g cm⁻³) = 7.20
- symmetry = No. 44

a = 2.8079 Å, b = 4.4262 Å, c = 6.3824 Å
α = 110.29°, β = 102.71°, γ = 90.00°
With the nearest neighbours (Å) after each atom.
Fractional coordinates of all 4 atoms:
Fe 0.2340 0.2340 0.4679  2 Si 2.30
In 0.9408 0.4408 0.8817  2 Fe 2.79, 2 In 2.81, 4 Si 3.06
In 0.7482 0.7482 0.4964  4 Fe 2.63, 2 In 2.81
Si 0.5770 0.0770 0.1539  2 Fe 2.30